(1)
PBE SrGd2Ni, relaxed; space group = P4/mmm (123); formation energy from the elements = -71.2 meV per atom; offset from the most stable computed form = 0 meV per atom
1.0
3.538 0.000 0.000
0.000 3.538 0.000
0.000 0.000 9.646
Sr Gd Ni
1 2 1
direct
0.000 0.000 0.000
0.500 0.500 0.336
0.500 0.500 0.664
0.000 0.000 0.500

***

(2)
PBE BaNa2AgHg4, relaxed; space group = R-3m (166); formation energy from the elements = -248.8 meV per atom
1.0
2.602 1.502 9.641
-2.602 1.502 9.641
0.000 -3.004 9.641
Ba Na Ag Hg
1 2 1 4
direct
0.000 0.000 0.000
0.229 0.229 0.229
0.771 0.771 0.771
0.500 0.500 0.500
0.121 0.121 0.121
0.400 0.400 0.400
0.600 0.600 0.600
0.879 0.879 0.879

***

(3)
PBE K8Na3O, relaxed; space group = P6_3mc (186)
1.0
11.603 0.000 0.000
-5.802 10.049 0.000
0.000 0.000 10.993
K Na O
16 6 2
direct
0.000 0.000 0.182
0.000 0.000 0.682
0.114 0.557 0.226
0.224 0.448 0.500
0.224 0.776 0.500
0.333 0.667 0.862
0.443 0.557 0.226
0.443 0.886 0.226
0.448 0.224 0.000
0.552 0.776 0.500
0.557 0.114 0.726
0.557 0.443 0.726
0.667 0.333 0.362
0.776 0.224 0.000
0.776 0.552 0.000
0.886 0.443 0.726
0.145 0.290 0.926
0.145 0.855 0.926
0.290 0.145 0.426
0.710 0.855 0.926
0.855 0.145 0.426
0.855 0.710 0.426
0.333 0.667 0.361
0.667 0.333 0.861

***

(4)
PBE AcPu2RhN4, relaxed; space group = Cmcm (63)
1.0
1.750 -5.876 0.000
1.750 5.876 0.000
0.000 0.000 11.836
Ac Pu Rh N
2 4 2 8
direct
0.103 0.897 0.750
0.897 0.103 0.250
0.369 0.631 0.554
0.369 0.631 0.946
0.631 0.369 0.054
0.631 0.369 0.446
0.160 0.840 0.250
0.840 0.160 0.750
0.000 0.000 0.000
0.000 0.000 0.500
0.262 0.738 0.100
0.262 0.738 0.400
0.439 0.561 0.750
0.561 0.439 0.250
0.738 0.262 0.600
0.738 0.262 0.900

***

(5)
PBE NaYSnBr6, relaxed; space group = P-31c (163)
1.0
7.355 0.000 0.000
-3.678 6.370 0.000
0.000 0.000 13.051
Na Y Sn Br
2 2 2 12
direct
0.333 0.667 0.250
0.667 0.333 0.750
0.333 0.667 0.750
0.667 0.333 0.250
0.000 0.000 0.000
0.000 0.000 0.500
0.017 0.353 0.627
0.017 0.664 0.873
0.336 0.353 0.873
0.336 0.983 0.627
0.353 0.017 0.127
0.353 0.336 0.373
0.647 0.664 0.627
0.647 0.983 0.873
0.664 0.017 0.373
0.664 0.647 0.127
0.983 0.336 0.127
0.983 0.647 0.373

***

(6)
PBE ReSbN, relaxed; space group = P4/nmm (129)
1.0
3.428 0.000 0.000
0.000 3.428 0.000
0.000 0.000 8.633
Re Sb N
2 2 2
direct
0.250 0.250 0.127
0.750 0.750 0.873
0.250 0.250 0.668
0.750 0.750 0.332
0.250 0.750 0.000
0.750 0.250 0.000

***

| no. | magnetization (μB per formula unit) | V (Å³/atom) | energy (hartree per atom) |
| --- | --- | --- | --- |
| 1 | 14.67 | 30.188 | -0.32991 |
| 2 | 0.00 | 28.257 | -0.04874 |
| 3 | 0.00 | 53.406 | -0.06274 |
| 4 | 6.94 | 15.217 | -0.37096 |
| 5 | 0.00 | 33.971 | -0.14116 |
| 6 | 0.00 | 16.912 | -0.29142 |